Record 1
4
Lattice="0.000 3.057 3.057 3.057 0.000 3.057 3.057 3.057 0.000" Properties=species:S:1:pos:R:3 comment="TaMnCl2 | Alexandria via LeMat-Bulk | meta-GGA SCAN | single point on PBEsol structure" sg="No. 225" magmom_total_mub_per_cell=4.1 formation_energy_uncorrected_ev_per_fu=1.7 pbc="T T T"
Ta 0.000 0.000 0.000
Mn 3.057 3.057 3.057
Cl 1.529 1.529 1.529
Cl 4.586 4.586 4.586

---

Record 2
5
Lattice="4.719 0.000 0.000 0.000 4.719 0.000 0.000 0.000 4.719" Properties=species:S:1:pos:R:3 comment="TaMn3Cl | Alexandria via LeMat-Bulk | meta-GGA SCAN | single point on PBEsol structure" sg="No. 221" magmom_total_mub_per_cell=9.0 formation_energy_uncorrected_ev_per_fu=5.5 pbc="T T T"
Ta 0.000 0.000 0.000
Mn 0.000 0.000 2.360
Mn 0.000 2.360 0.000
Mn 2.360 0.000 0.000
Cl 2.360 2.360 2.360

---

Record 3
4
Lattice="2.861 -4.152 0.000 2.861 4.152 0.000 -1.237 0.000 2.770" Properties=species:S:1:pos:R:3 comment="TaMnCl2 | Alexandria via LeMat-Bulk | meta-GGA SCAN | single point on PBEsol structure" sg="No. 12" magmom_total_mub_per_cell=3.8 formation_energy_uncorrected_ev_per_fu=-0.1 pbc="T T T"
Ta 0.000 0.000 0.000
Mn 2.861 0.000 0.000
Cl 1.431 2.076 0.000
Cl 1.431 -2.076 0.000

---

Copy entry 1 word for word.
4
Lattice="0.000 3.057 3.057 3.057 0.000 3.057 3.057 3.057 0.000" Properties=species:S:1:pos:R:3 comment="TaMnCl2 | Alexandria via LeMat-Bulk | meta-GGA SCAN | single point on PBEsol structure" sg="No. 225" magmom_total_mub_per_cell=4.1 formation_energy_uncorrected_ev_per_fu=1.7 pbc="T T T"
Ta 0.000 0.000 0.000
Mn 3.057 3.057 3.057
Cl 1.529 1.529 1.529
Cl 4.586 4.586 4.586